# 1
Here is a relaxed structure of Pr8Cu2Os from Alexandria via LeMat-Bulk. Energies are from GGA-PBE.

a = 6.515 Å, b = 7.887 Å, c = 7.887 Å
α = 110.20°, β = 104.10°, γ = 104.10°
Element x y z (fractional)
Pr  0.611  0.364  0.095
Pr  0.611  0.095  0.364
Pr  0.206  0.367  0.367
Pr  0.948  0.153  0.842
Pr  0.948  0.842  0.153
Pr  0.785  0.638  0.638
Pr  0.312  0.913  0.628
Pr  0.312  0.628  0.913
Os  0.242  0.999  0.999
Cu  0.512  0.706  0.330
Cu  0.512  0.330  0.706

Values from the calculation:
D(E_F) = 1.30 states/eV per atom
Volume = 31.28 Å³ per atom
Energy of formation = 47 meV per atom



# 2
Here is a relaxed structure of SbAs2BrF from Alexandria via LeMat-Bulk. Energies are from GGA-PBE.

a = 4.403 Å, b = 4.403 Å, c = 5.730 Å
α = 90.00°, β = 90.00°, γ = 90.00°
Element x y z (fractional)
Sb  0.500  0.500  0.500
As  0.000  0.500  0.000
As  0.500  0.000  0.000
Br  0.000  0.000  0.500
F  0.000  0.000  0.000

Values from the calculation:
D(E_F) = 0.86 states/eV per atom
Formation energy from raw total energies = 0.192 eV per atom
Volume = 22.21 Å³ per atom



# 3
Here is a relaxed structure of YSbF2 from Alexandria via LeMat-Bulk. Energies are from GGA-PBE.

a = 9.065 Å, b = 9.065 Å, c = 9.065 Å
α = 21.65°, β = 21.65°, γ = 21.65°
Element x y z (fractional)
Y  0.000  0.000  0.000
Sb  0.500  0.500  0.500
F  0.921  0.921  0.921
F  0.079  0.079  0.079

Values from the calculation:
D(E_F) = 0.22 states/eV per atom
Formation energy from raw total energies = -1.666 eV per atom
Volume = 22.21 Å³ per atom



Polymorph energy (0 for the lowest one) values, unit meV/atom, following the record order: 78, 0, 629.
Mass density values, unit Mg/m³, following the record order: 7.0, 5.5, 4.6.